A plane-wave DFT calculation with meta-GGA SCAN was carried out for a crystal of SrLiC2 relaxed with PBEsol. Values from VASP.

The structure in Quantum ESPRESSO input format:
```
&SYSTEM
  ibrav = 0, nat = 4, ntyp = 3
/
ATOMIC_SPECIES
Sr 87.62 Sr.upf
C 12.01 C.upf
Li 6.94 Li.upf
CELL_PARAMETERS angstrom
-4.069 -0.844 1.036
-1.019 -0.996 4.039
-2.219 2.772 2.395
ATOMIC_POSITIONS crystal
Sr 0.500 0.500 0.500
C 0.250 0.250 0.250
C 0.750 0.750 0.750
Li 0.000 0.000 0.000
```

Size of the total moment ... 0.000 μB per formula unit
DFT formation energy ... 1563 meV/atom
Symmetry ... No. 225